# 1
{"formula": "AcSiBi2", "functional": "GGA-PBE", "state": "relaxed", "cell": [[5.1646, 0.0000, 0.0000], [0.0000, 4.7958, 0.0000], [0.0000, 0.0000, 4.7958]], "species": ["Bi", "Ac", "Si", "Bi"], "fractional_positions": [[0.0000, 0.5000, 0.0000], [0.5000, 0.0000, 0.0000], [0.5000, 0.5000, 0.5000], [0.0000, 0.0000, 0.5000]], "dos_ef_per_ev_atom": 0.62, "energy_ev_per_atom": -4.589}

***

# 2
{"formula": "Ac2SiBi", "functional": "GGA-PBE", "state": "relaxed", "cell": [[-4.2301, -1.1183, -1.6199], [-1.0520, -4.4565, -0.8952], [-4.3641, -2.7302, 6.5621]], "species": ["Si", "Ac", "Ac", "Bi"], "fractional_positions": [[0.0000, 0.0000, 0.0000], [0.7427, 0.7427, 0.7719], [0.2573, 0.2573, 0.2281], [0.5000, 0.5000, 0.5000]], "dos_ef_per_ev_atom": 1.04, "energy_ev_per_atom": -5.017, "relative_energy_ev_per_atom": 0.000}

***

# 3
{"formula": "Ac5Si2Bi", "functional": "GGA-PBE", "state": "relaxed", "cell": [[-5.0968, 3.4019, -6.2227], [-5.5231, -6.7109, 0.8550], [1.5731, 5.3794, 7.7809]], "species": ["Ac", "Ac", "Bi", "Bi", "Ac", "Si", "Ac", "Ac", "Ac", "Ac", "Ac", "Ac", "Ac", "Si", "Si", "Si"], "fractional_positions": [[0.4843, 0.2883, 0.2726], [0.9843, 0.4843, 0.2726], [0.2500, 0.2500, 0.5000], [0.7500, 0.7500, 0.5000], [0.5157, 0.7117, 0.7274], [0.1504, 0.3496, 0.0000], [0.2117, 0.0157, 0.7274], [0.7883, 0.9843, 0.2726], [0.0157, 0.5157, 0.7274], [0.5000, 0.5000, 0.0000], [0.0000, 0.0000, 0.0000], [0.7117, 0.2117, 0.7274], [0.2883, 0.7883, 0.2726], [0.6504, 0.1504, 0.0000], [0.3496, 0.8496, 0.0000], [0.8496, 0.6504, 0.0000]], "dos_ef_per_ev_atom": 1.27, "energy_ev_per_atom": -4.960}